The following is a DFT calculation (PBE) of a relaxed Tm3Ga3Rh2 crystal.

Values from the calculation:
energy relative to the elements	-0.7922	eV/atom
M_tot	0.00	μB per atom
crystal system	orthorhombic

Cell: 7.6379 15.2609 5.5010 Å, 90.00 90.00 90.00°
Closest atoms and distances in Å follow each position.
Space group Pnma (No. 62)
Inequivalent atoms, fractional coordinates:
Tm  0.0380  0.1093  0.1145 [8 per cell]  3 Rh 2.90-3.04, 7 Ga 3.01-3.24
Tm  0.1720  0.2500  0.6318 [4 per cell]  5 Ga 2.99-3.31, 4 Rh 2.99-3.00
Ga  0.1705  0.7500  0.6349 [4 per cell]  2 Rh 2.59
Ga  0.1801  0.0336  0.6002 [8 per cell]  3 Rh 2.51-2.61
Rh  0.1089  0.6122  0.3722 [8 per cell]  4 Ga 2.51-2.61